VASP calculation (PBE+U) on CoSbF3 after structural relaxation.

The structure in CIF format:
```
data_CoSbF3
_cell_length_a 4.147
_cell_length_b 4.147
_cell_length_c 4.147
_cell_angle_alpha 90.00
_cell_angle_beta 90.00
_cell_angle_gamma 90.00
_symmetry_space_group_name_H-M 'P 1'
_symmetry_Int_Tables_number 1
loop_
_symmetry_equiv_pos_as_xyz
'x,y,z'
loop_
_atom_site_label
_atom_site_fract_x
_atom_site_fract_y
_atom_site_fract_z
Sb1 0.500 0.500 0.500
Co1 0.000 0.000 0.000
F1 0.000 0.500 0.000
F2 0.000 0.000 0.500
F3 0.500 0.000 0.000
```

Values from the calculation:
total magnetization: 2.6 μB per cell
space group: No. 221
calculated volume: 71.34 Å³/cell
polymorph energy (0 for the lowest one): 0.0 meV/atom
mass density: 5.5 g cm⁻³